Here is a relaxed Hf4Ga5Fe2 crystal from Alexandria. Energies are from PBE.

Values from the calculation:
E	-6.927	eV per atom
ρ	10.25	g/cm³
space group	No. 10

```
11
Lattice="-1.323 0.394 2.904 -5.317 -3.911 -1.892 4.575 -6.684 2.991" Properties=species:S:1:pos:R:3 pbc="T T T"
Hf -2.225 -6.566 1.656
Hf 2.342 -6.232 3.692
Hf 0.160 -3.635 2.346
Hf -4.406 -3.970 0.310
Ga -1.471 -4.288 -0.089
Ga -0.230 -1.671 0.122
Ga -2.659 -1.956 -0.946
Ga -0.512 -8.924 0.977
Ga 0.729 -6.307 1.187
Fe 2.551 -4.571 1.782
Fe -3.293 -6.024 -0.684
```